Record 1
DFT (GGA-PBE) results for LiAl3Au3 after structural relaxation.

## Properties
Density of states at the Fermi level   4.41 states/eV per cell
Calculated density   6.4 g/cm³
Energy   -3.381 eV/atom
Crystal system   cubic

Cell lengths 7.0588, 7.0588, 7.0588 Å; angles 90.00, 90.00, 90.00 degrees
With the nearest neighbours (Å) after each atom.
Space group Pm-3n (No. 223)
Asymmetric unit:
Li  0.0000  0.0000  0.0000 [2 per cell]  12 Al 3.95, 12 Au 3.95
Al  0.0000  0.2500  0.5000 [6 per cell]  4 Au 2.50
Au  0.0000  0.5000  0.2500 [6 per cell]  4 Al 2.50


Record 2
DFT (GGA-PBE) results for LiAl2Au after structural relaxation.

## Properties
Density of states at the Fermi level   7.36 states/eV per cell
Calculated density   5.4 g/cm³
Energy   -3.289 eV/atom
Crystal system   tetragonal

Cell lengths 7.8871, 7.8871, 5.1232 Å; angles 90.00, 90.00, 90.00 degrees
With the nearest neighbours (Å) after each atom.
Space group I-42d (No. 122)
Asymmetric unit:
Li  0.0000  0.0000  0.0000 [4 per cell]  2 Au 2.56
Al  0.1909  0.2500  0.6250 [8 per cell]  2 Au 2.56, 2 Al 2.73
Au  0.0000  0.0000  0.5000 [4 per cell]  2 Li 2.56, 4 Al 2.56


Record 3
DFT (GGA-PBE) results for LiAl2Au2 after structural relaxation.

## Properties
Density of states at the Fermi level   3.57 states/eV per cell
Calculated density   7.8 g/cm³
Energy   -3.553 eV/atom
Crystal system   tetragonal

Cell lengths 4.0321, 4.0321, 11.8678 Å; angles 90.00, 90.00, 90.00 degrees
With the nearest neighbours (Å) after each atom.
Space group I4/mmm (No. 139)
Asymmetric unit:
Li  0.0000  0.0000  0.0000 [2 per cell]  8 Au 3.16
Al  0.0000  0.5000  0.2500 [4 per cell]  4 Au 2.58, 4 Al 2.85
Au  0.0000  0.0000  0.3858 [4 per cell]  4 Al 2.58, 1 Au 2.71


Record 4
DFT (GGA-PBE) results for Li2AlAu3 after structural relaxation.

## Properties
Density of states at the Fermi level   2.73 states/eV per cell
Calculated density   11.2 g/cm³
Energy   -3.443 eV/atom
Crystal system   orthorhombic

Cell lengths 4.3964, 13.1566, 3.2261 Å; angles 90.00, 90.00, 90.00 degrees
With the nearest neighbours (Å) after each atom.
Space group Cmmm (No. 65)
Asymmetric unit:
Li  0.0000  0.1671  0.0000 [4 per cell]  8 Au 2.72-2.73
Al  0.0000  0.5000  0.0000 [2 per cell]  8 Au 2.72-2.73
Au  0.0000  0.0000  0.5000 [2 per cell]  4 Al 2.73, 4 Li 2.73
Au  0.0000  0.3335  0.5000 [4 per cell]  6 Li 2.72-2.73, 2 Al 2.72


Record 5
DFT (GGA-PBE) results for Li4AlAu after structural relaxation.

## Properties
Density of states at the Fermi level   8.03 states/eV per cell
Calculated density   4.5 g/cm³
Energy   -2.788 eV/atom
Crystal system   orthorhombic

Cell lengths 5.2618, 15.6565, 4.4905 Å; angles 90.00, 90.00, 90.00 degrees
With the nearest neighbours (Å) after each atom.
Space group Cmcm (No. 63)
Asymmetric unit:
Li  0.2449  0.0415  0.2500 [8 per cell]  5 Li 2.58-2.68
Li  0.2485  0.2082  0.2500 [8 per cell]  5 Li 2.60-2.65, 2 Au 2.90
Al  0.0000  0.3763  0.2500 [4 per cell]  2 Au 2.63, 12 Li 2.91-2.94
Au  0.0000  0.1255  0.7500 [4 per cell]  2 Al 2.63, 12 Li 2.90-2.92


Record 6
DFT (GGA-PBE) results for Li2Al2Au7 after structural relaxation.

## Properties
Density of states at the Fermi level   5.16 states/eV per cell
Calculated density   12.7 g/cm³
Energy   -3.473 eV/atom
Crystal system   orthorhombic

Cell lengths 4.0952, 13.4662, 6.8652 Å; angles 90.00, 90.00, 90.00 degrees
With the nearest neighbours (Å) after each atom.
Space group Imm2 (No. 44)
Asymmetric unit:
Li  0.0000  0.0000  0.0000 [2 per cell]  7 Au 2.71-2.87, 2 Li 3.00
Li  0.0000  0.5000  0.1812 [2 per cell]  10 Au 2.78-2.87, 2 Li 3.00
Al  0.0000  0.2089  0.1873 [4 per cell]  8 Au 2.64-2.82
Au  0.0000  0.0000  0.3943 [2 per cell]  3 Li 2.71-2.84, 6 Au 2.86-2.90
Au  0.0000  0.1485  0.6997 [4 per cell]  6 Au 2.81-3.07, 2 Al 2.81, 3 Li 2.87
Au  0.0000  0.3522  0.8994 [4 per cell]  3 Al 2.64-2.76, 1 Li 2.78, 5 Au 2.86-2.91
Au  0.0000  0.3558  0.4789 [4 per cell]  3 Al 2.64-2.82, 3 Au 2.81-2.89, 3 Li 2.82-2.83


Record 7
DFT (GGA-PBE) results for LiAlAu after structural relaxation.

## Properties
Density of states at the Fermi level   2.79 states/eV per cell
Calculated density   8.4 g/cm³
Energy   -3.319 eV/atom
Crystal system   monoclinic

Cell lengths 7.5417, 4.3603, 5.5297 Å; angles 90.00, 90.27, 90.00 degrees
With the nearest neighbours (Å) after each atom.
Space group C2/m (No. 12)
Asymmetric unit:
Li  0.1668  0.0000  0.2501 [4 per cell]  5 Al 2.52-2.77
Al  0.1668  0.0000  0.7501 [4 per cell]  5 Li 2.52-2.77
Au  0.0000  0.5000  0.0000 [2 per cell]  2 Au 2.76, 6 Al 2.86-2.87, 6 Li 2.87
Au  0.0000  0.5000  0.5000 [2 per cell]  2 Au 2.76, 6 Li 2.86-2.87, 6 Al 2.87


Record 8
DFT (GGA-PBE) results for LiAlAu2 after structural relaxation.

## Properties
Density of states at the Fermi level   8.00 states/eV per cell
Calculated density   10.3 g/cm³
Energy   -3.225 eV/atom
Crystal system   trigonal

Cell lengths 3.0053, 3.0053, 26.4552 Å; angles 90.00, 90.00, 120.00 degrees
With the nearest neighbours (Å) after each atom.
Space group R3m (No. 160, hexagonal axes)
Asymmetric unit:
Li  0.0000  0.0000  0.0000 [3 per cell]  3 Au 2.72, 3 Al 2.83, 6 Li 3.01
Al  0.0000  0.0000  0.2487 [3 per cell]  3 Au 2.68, 3 Li 2.83, 6 Al 3.01
Au  0.0000  0.0000  0.5046 [3 per cell]  3 Al 2.68, 9 Au 2.99-3.01
Au  0.0000  0.0000  0.7459 [3 per cell]  3 Li 2.72, 9 Au 2.99-3.01